(1)
Material: Li2TiAu2
Method: DFT, GGA-PBE
State: relaxed

ρ: 8.947 g/cm³
ΔH_f (0 K): -1.169 eV/f.u.

a b c (Å): 7.0771 7.0771 3.3770
angles (deg): 90.00 90.00 90.00
Site moments in Bohr magnetons follow the coordinates.
Fractional coordinates of all 10 atoms:
Au (0.3523, 0.8523, 0.0000)  0.02
Au (0.6477, 0.1477, 0.0000)  0.02
Au (0.1477, 0.3523, 0.0000)  0.03
Au (0.8523, 0.6477, 0.0000)  0.03
Ti (0.5000, 0.5000, 0.0000)  0.87
Ti (0.0000, 0.0000, 0.0000)  0.89
Li (0.6497, 0.8503, 0.5000)  0.00
Li (0.8503, 0.3503, 0.5000)  0.00
Li (0.1497, 0.6497, 0.5000)  0.00
Li (0.3503, 0.1497, 0.5000)  0.00

=====

(2)
Material: ReIO2
Method: DFT, GGA-PBE
State: relaxed

energy: -25.94 eV per cell
ρ: 8.126 g/cm³

a b c (Å): 9.1338 9.1338 9.1338
angles (deg): 18.99 18.99 18.99
Fractional coordinates of all 4 atoms:
Re (0.5000, 0.5000, 0.5000)
I (0.0000, 0.0000, 0.0000)
O (0.8755, 0.8755, 0.8755)
O (0.1245, 0.1245, 0.1245)

=====

(3)
Material: YMg2Al
Method: DFT, GGA-PBE
State: relaxed

ρ: 2.938 g/cm³
ΔH_f (0 K): -0.348 eV/f.u.

a b c (Å): 3.1802 4.4281 6.6023
angles (deg): 90.00 90.00 90.00
Fractional coordinates of all 4 atoms:
Al (0.5000, 0.5000, 0.7586)
Mg (0.0000, 0.0000, 0.9967)
Mg (0.5000, 0.5000, 0.2279)
Y (0.0000, 0.0000, 0.5168)

=====

(4)
Material: FeRe2Se
Method: DFT, GGA-PBE
State: relaxed

energy: -35.02 eV per cell
ρ: 14.512 g/cm³

a b c (Å): 8.4103 8.4103 8.4103
angles (deg): 19.51 19.51 19.51
Site moments in Bohr magnetons follow the coordinates.
Fractional coordinates of all 4 atoms:
Se (0.2500, 0.2500, 0.2500)  -0.03
Re (0.4982, 0.4982, 0.4982)  -0.20
Re (0.0018, 0.0018, 0.0018)  -0.20
Fe (0.7500, 0.7500, 0.7500)  1.89